Entry from Alexandria via LeMat-Bulk: an optimized crystal structure of Cs3In4Bi2Pb2 (PBE-GGA).

It has space group P-3m1 (No. 164), with a = 5.2832 Å, b = 5.2832 Å, c = 20.6370 Å, α = 90.00°, β = 90.00° and γ = 120.00°. The asymmetric unit holds Cs at (0.0000, 0.0000, 0.0000), Cs at (0.0000, 0.0000, 0.2866), In at (0.3333, 0.6667, 0.4288), In at (0.3333, 0.6667, 0.8537), Bi at (0.3333, 0.6667, 0.1434) and Pb at (0.3333, 0.6667, 0.5782).

The value obtained for the raw total energy is -29.94 eV for the cell shown. The value obtained for the calculated density is 5627 kg/m3. The density of states at the Fermi level is 0.509 states/eV/atom.